Computed, not measured: a relaxed SrReAs2W crystal at the PBEsol level of DFT.

Values from the calculation:
Formation energy from the elements (eV per atom): 0.675
Space-group type: P4/mmm (123)
Calculated total energy (eV/atom): -7.1638

Cell lengths 4.869, 4.869, 4.908 Å; angles 90.00, 90.00, 90.00 degrees
Positions (direct):
Sr 0.000 0.000 0.000
Re 0.500 0.500 0.000
As 0.000 0.500 0.500
As 0.500 0.000 0.500
W 0.500 0.500 0.500